Model w:
## RbScC2 (PBE)

Data for an optimized crystal structure of RbScC2.

Values from the calculation:
As for the density of states at the Fermi level: 0.762 states/eV/atom. The total moment comes out at 1.14 Bohr magnetons per cell.

abc: 8.1136 8.1136 8.1136
angles: 144.73 144.73 50.74
Last column: nearest neighbours and their distance in Å.
Fractional coordinates of all 8 atoms:
Rb1 0.3750 0.6250 0.7500  8 C 3.30, 4 Sc 3.48
Rb2 0.6250 0.3750 0.2500  8 C 3.30, 4 Sc 3.48
Sc1 0.1250 0.8750 0.2500  4 C 2.21
Sc2 0.8750 0.1250 0.7500  4 C 2.21
C1 0.0000 0.0000 0.0000  2 Sc 2.21, 2 C 2.46
C2 0.0000 0.0000 0.5000  2 Sc 2.21, 2 C 2.46
C3 0.0000 0.5000 0.0000  2 Sc 2.21, 2 C 2.46
C4 0.5000 0.0000 0.5000  2 Sc 2.21, 2 C 2.46

Model x:
## RbScC2 (PBE)

Data for an optimized crystal structure of RbScC2.

Values from the calculation:
As for the density of states at the Fermi level: 0.649 states/eV/atom. The total moment comes out at 0.00 Bohr magnetons per cell.

abc: 4.5068 4.5068 4.5068
angles: 60.00 60.00 60.00
Last column: nearest neighbours and their distance in Å.
Fractional coordinates of all 4 atoms:
Rb1 0.0000 0.0000 0.0000  8 C 2.76
Sc1 0.5000 0.5000 0.5000  8 C 2.76
C1 0.2500 0.2500 0.2500  4 Sc 2.76, 4 Rb 2.76
C2 0.7500 0.7500 0.7500  4 Sc 2.76, 4 Rb 2.76

Which one is the most stable? From the structures above, model w.